1.
Entry from Alexandria via LeMat-Bulk: an optimized crystal structure of Na4Zr3VSe8 (PBE).

Lattice parameters (Å, degrees): 7.6749 7.6749 21.4146 90.00 90.00 120.00
Space group R-3m (No. 166, hexagonal axes)
Unique sites:
Na  0.0000  0.0000  0.0000 [3 per cell]
Na  0.0000  0.5000  0.0000 [9 per cell]
Zr  0.0000  0.5000  0.5000 [9 per cell]
V  0.0000  0.0000  0.5000 [3 per cell]
Se  0.0000  0.0000  0.2424 [6 per cell]
Se  0.0082  0.5041  0.2402 [18 per cell]

Summary:
Final energy in eV/atom: -5.459
ΔE_f (raw) in eV per atom: -1.21

2.
Entry from Alexandria via LeMat-Bulk: an optimized crystal structure of Na2Zr2VSe6 (PBE).

Lattice parameters (Å, degrees): 6.5737 11.3679 7.5553 90.00 107.24 90.00
Space group C2/m (No. 12)
Unique sites:
Na  0.0000  0.1696  0.0000 [4 per cell]
Zr  0.0000  0.3328  0.5000 [4 per cell]
V  0.0000  0.0000  0.5000 [2 per cell]
Se  0.2378  0.1615  0.7172 [8 per cell]
Se  0.2483  0.5000  0.7162 [4 per cell]

Summary:
Final energy in eV/atom: -5.724
ΔE_f (raw) in eV per atom: -1.20

3.
Entry from Alexandria via LeMat-Bulk: an optimized crystal structure of Na3ZrV2Se6 (PBE).

Lattice parameters (Å, degrees): 6.6161 11.4620 7.3348 90.00 107.54 90.00
Space group C2/m (No. 12)
Unique sites:
Na  0.0000  0.0000  0.0000 [2 per cell]
Na  0.0000  0.3369  0.0000 [4 per cell]
Zr  0.0000  0.5000  0.5000 [2 per cell]
V  0.0000  0.1675  0.5000 [4 per cell]
Se  0.2256  0.0000  0.7119 [4 per cell]
Se  0.2436  0.3277  0.7129 [8 per cell]

Summary:
Final energy in eV/atom: -5.344
ΔE_f (raw) in eV per atom: -1.04

4.
Entry from Alexandria via LeMat-Bulk: an optimized crystal structure of Na3Zr3VSe8 (PBE).

Lattice parameters (Å, degrees): 7.5997 7.5997 21.7704 90.00 90.00 120.00
Space group R-3m (No. 166, hexagonal axes)
Unique sites:
Na  0.0000  0.5000  0.0000 [9 per cell]
Zr  0.0000  0.5000  0.5000 [9 per cell]
V  0.0000  0.0000  0.5000 [3 per cell]
Se  0.0000  0.0000  0.2418 [6 per cell]
Se  0.0074  0.5037  0.2387 [18 per cell]

Summary:
Final energy in eV/atom: -5.666
ΔE_f (raw) in eV per atom: -1.23

5.
Entry from Alexandria via LeMat-Bulk: an optimized crystal structure of Na2WSe (PBE).

Lattice parameters (Å, degrees): 10.0255 10.0255 4.8161 90.00 90.00 90.00
Space group I-42d (No. 122)
Unique sites:
Na  0.1301  0.2500  0.1250 [8 per cell]
W  0.0000  0.0000  0.5000 [4 per cell]
Se  0.0000  0.0000  0.0000 [4 per cell]

Summary:
Final energy in eV/atom: -4.057
ΔE_f (raw) in eV per atom: 0.71

6.
Entry from Alexandria via LeMat-Bulk: an optimized crystal structure of Na3WSe (PBE).

Lattice parameters (Å, degrees): 5.7335 5.7335 5.7335 90.00 90.00 90.00
Space group Pm-3m (No. 221)
Unique sites:
Na  0.0000  0.0000  0.5000 [3 per cell]
W  0.0000  0.0000  0.0000 [1 per cell]
Se  0.5000  0.5000  0.5000 [1 per cell]

Summary:
Final energy in eV/atom: -2.782
ΔE to the lowest computed polymorph in kJ per mole of atoms: 52.9
ΔE_f (raw) in eV per atom: 1.30

Number 1: total magnetization 2.5 μB/f.u.. Number 2: total magnetization 2.9 μB/f.u.. Number 3: total magnetization 5.0 μB/f.u.. Number 4: total magnetization 2.6 μB/f.u.. Number 5: total magnetization 3.2 μB/f.u.. Number 6: total magnetization 5.0 μB/f.u..